Density functional theory data (PBE) for crystalline Lu2GaSe at its relaxed geometry.

a = 3.8649 Å, b = 3.8649 Å, c = 21.6020 Å
α = 90.00°, β = 90.00°, γ = 120.00°
Space group R-3m (No. 166, hexagonal axes)
One atom of each set of equivalent atoms:
Lu1 0.0000 0.0000 0.2494 [6 per cell]
Ga1 0.0000 0.0000 0.0000 [3 per cell]
Se1 0.0000 0.0000 0.5000 [3 per cell]

Properties
Calculated volume: 23.29 Å³/atom
E_form (uncorrected): -1.09 eV per atom

***

Density functional theory data (PBE) for crystalline CsNaSn2Br6 at its relaxed geometry.

a = 7.905 Å, b = 7.909 Å, c = 8.493 Å
α = 90.02°, β = 117.73°, γ = 119.98°
Space group P1 (No. 1)
One atom of each set of equivalent atoms:
Cs1 0.000 0.000 0.000 [1 per cell]
Na1 0.939 0.470 0.408 [1 per cell]
Sn1 0.533 0.267 0.799 [1 per cell]
Sn2 0.559 0.780 0.338 [1 per cell]
Br1 0.076 0.481 0.122 [1 per cell]
Br2 0.082 0.183 0.596 [1 per cell]
Br3 0.414 0.901 0.595 [1 per cell]
Br4 0.527 0.047 0.122 [1 per cell]
Br5 0.641 0.595 0.121 [1 per cell]
Br6 0.696 0.515 0.596 [1 per cell]

Properties
Calculated volume: 38.79 Å³/atom
E_form (uncorrected): -1.13 eV per atom

***

Density functional theory data (PBE) for crystalline IrRu3 at its relaxed geometry.

a = 2.711 Å, b = 2.711 Å, c = 7.668 Å
α = 90.00°, β = 90.00°, γ = 90.00°
Space group P4/mmm (No. 123)
One atom of each set of equivalent atoms:
Ir1 0.000 0.000 0.000 [1 per cell]
Ru1 0.000 0.000 0.500 [1 per cell]
Ru2 0.500 0.500 0.252 [2 per cell]

Properties
Calculated volume: 14.09 Å³/atom
Energy of formation from the pure elements: 51 meV per atom

***

Density functional theory data (PBE) for crystalline Pm3SnRu2 at its relaxed geometry.

a = 8.3510 Å, b = 8.3510 Å, c = 15.9558 Å
α = 90.00°, β = 90.00°, γ = 120.00°
Space group R-3c (No. 167, hexagonal axes)
One atom of each set of equivalent atoms:
Pm1 0.0000 0.3103 0.2500 [18 per cell]
Sn1 0.0000 0.0000 0.0000 [6 per cell]
Ru1 0.0000 0.0000 0.1679 [12 per cell]

Properties
Calculated volume: 26.77 Å³/atom
Energy of formation from the pure elements: -249 meV per atom